Computed, not measured: an optimized crystal structure of NdPuPd2 at the GGA-PBE level of DFT.

abc: 3.566 3.566 7.182
angles: 90.00 90.00 90.00
Last column: magnetic moment on the atom in μB.
Fractional coordinates of all 4 atoms:
Pu  0.500  0.500  0.500  5.36
Pd  0.000  0.000  0.747  0.01
Nd  0.500  0.500  0.000  0.10
Pd  0.000  0.000  0.253  0.01

Calculated values
SG: P4/mmm, No. 123
formation energy from the elements: -2.2 eV/f.u.

Computed, not measured: an optimized crystal structure of NdPuSbPd at the GGA-PBE level of DFT.

abc: 5.266 5.266 5.266
angles: 60.00 60.00 60.00
Last column: magnetic moment on the atom in μB.
Fractional coordinates of all 4 atoms:
Nd  0.750  0.750  0.750  0.21
Pd  0.500  0.500  0.500  -0.01
Sb  0.000  0.000  0.000  -0.04
Pu  0.250  0.250  0.250  5.49

Calculated values
SG: F-43m, No. 216
E_form (uncorrected): -0.61 eV/atom

Computed, not measured: an optimized crystal structure of NdPu2Sb2Pd2 at the GGA-PBE level of DFT.

abc: 4.684 4.684 9.239
angles: 75.32 75.32 60.00
Last column: magnetic moment on the atom in μB.
Fractional coordinates of all 7 atoms:
Nd  0.000  0.000  0.000  0.07
Sb  0.264  0.264  0.207  -0.03
Pu  0.857  0.857  0.429  5.33
Pd  0.563  0.563  0.311  -0.03
Pu  0.143  0.143  0.571  5.33
Sb  0.736  0.736  0.793  -0.03
Pd  0.437  0.437  0.689  -0.03

Calculated values
SG: R-3m, No. 166
E_form (uncorrected): -0.72 eV/atom

Computed, not measured: an optimized crystal structure of Nd2PuZn2Pd5 at the GGA-PBE level of DFT.

abc: 3.940 10.029 10.029
angles: 90.00 90.00 90.00
Last column: magnetic moment on the atom in μB.
Fractional coordinates of all 20 atoms:
Pd  0.500  0.433  0.285  -0.01
Pd  0.500  0.067  0.785  -0.01
Pu  0.000  0.000  0.000  5.09
Nd  0.000  0.322  0.822  0.01
Pd  0.500  0.785  0.933  -0.01
Pd  0.500  0.285  0.567  -0.01
Pu  0.000  0.500  0.500  5.09
Nd  0.000  0.822  0.678  0.01
Pd  0.500  0.567  0.715  -0.01
Pd  0.500  0.000  0.500  0.00
Pd  0.500  0.215  0.067  -0.01
Pd  0.500  0.500  0.000  0.00
Zn  0.000  0.383  0.117  0.00
Pd  0.500  0.715  0.433  -0.01
Zn  0.000  0.117  0.617  0.00
Nd  0.000  0.678  0.178  0.01
Nd  0.000  0.178  0.322  0.01
Pd  0.500  0.933  0.215  -0.01
Zn  0.000  0.883  0.383  0.00
Zn  0.000  0.617  0.883  0.00

Calculated values
SG: P4/mbm, No. 127
formation energy from the elements: -6.1 eV/f.u.

Computed, not measured: an optimized crystal structure of RbNd2Pd at the GGA-PBE level of DFT.

abc: 4.315 4.315 11.860
angles: 79.52 79.52 60.00
Fractional coordinates of all 4 atoms:
Pd  0.500  0.500  0.500
Nd  0.876  0.876  0.373
Rb  0.000  0.000  0.000
Nd  0.124  0.124  0.627

Calculated values
SG: R-3m, No. 166
formation energy from the elements: -0.5 eV/f.u.

Computed, not measured: an optimized crystal structure of RbNdPd4 at the GGA-PBE level of DFT.

abc: 5.585 5.585 5.585
angles: 60.00 60.00 60.00
Fractional coordinates of all 6 atoms:
Pd  0.123  0.626  0.626
Pd  0.626  0.626  0.123
Rb  0.250  0.250  0.250
Pd  0.626  0.123  0.626
Pd  0.626  0.626  0.626
Nd  0.000  0.000  0.000

Calculated values
SG: F-43m, No. 216
formation energy from the elements: -2.1 eV/f.u.

Computed, not measured: an optimized crystal structure of Nd6Pd5Rh at the GGA-PBE level of DFT.

abc: 5.138 7.125 8.871
angles: 66.32 72.96 90.00
Fractional coordinates of all 12 atoms:
Pd  0.000  0.500  0.000
Pd  0.669  0.170  0.661
Pd  0.331  0.830  0.339
Nd  0.500  0.245  0.000
Nd  0.164  0.916  0.672
Pd  0.332  0.333  0.335
Nd  0.836  0.589  0.328
Rh  0.000  0.000  0.000
Nd  0.164  0.411  0.672
Nd  0.500  0.755  0.000
Pd  0.668  0.667  0.665
Nd  0.836  0.084  0.328

Calculated values
SG: C2/m, No. 12
polymorph energy (0 for the lowest one): 0.000 eV per atom
formation energy from the elements: -8.8 eV/f.u.

Computed, not measured: an optimized crystal structure of Nd3Pd2Rh7 at the GGA-PBE level of DFT.

abc: 5.340 5.340 9.429
angles: 73.55 73.55 60.00
Fractional coordinates of all 12 atoms:
Rh  0.415  0.918  0.251
Nd  0.140  0.140  0.581
Rh  0.082  0.585  0.749
Pd  0.667  0.667  0.999
Rh  0.585  0.082  0.749
Rh  0.500  0.500  0.500
Nd  0.860  0.860  0.419
Rh  0.415  0.415  0.251
Rh  0.918  0.415  0.251
Nd  0.000  0.000  0.000
Pd  0.333  0.333  0.001
Rh  0.585  0.585  0.749

Calculated values
SG: R-3m, No. 166
formation energy from the elements: -6.6 eV/f.u.

Computed, not measured: an optimized crystal structure of NdPdRh2 at the GGA-PBE level of DFT.

abc: 4.106 4.166 4.166
angles: 90.00 90.00 90.00
Fractional coordinates of all 4 atoms:
Pd  0.500  0.000  0.000
Nd  0.500  0.500  0.500
Rh  0.000  0.500  0.000
Rh  0.000  0.000  0.500

Calculated values
SG: P4/mmm, No. 123
formation energy from the elements: -1.7 eV/f.u.

Computed, not measured: an optimized crystal structure of NdPdRh at the GGA-PBE level of DFT.

abc: 3.688 3.688 10.041
angles: 100.58 100.58 90.00
Fractional coordinates of all 6 atoms:
Rh  0.222  0.222  0.444
Nd  0.633  0.633  0.266
Rh  0.778  0.778  0.556
Nd  0.367  0.367  0.734
Pd  0.066  0.066  0.133
Pd  0.934  0.934  0.867

Calculated values
SG: I4/mmm, No. 139
polymorph energy (0 for the lowest one): 0.379 eV per atom
formation energy from the elements: -0.9 eV/f.u.

Computed, not measured: an optimized crystal structure of Nd6Pd5Rh at the GGA-PBE level of DFT.

abc: 7.261 7.251 7.270
angles: 60.08 80.40 70.46
Fractional coordinates of all 12 atoms:
Nd  0.250  0.241  0.000
Rh  0.000  0.000  0.000
Pd  0.000  0.335  0.331
Nd  0.757  0.080  0.325
Pd  0.000  0.665  0.669
Pd  0.500  0.172  0.657
Pd  0.500  0.500  0.000
Nd  0.750  0.759  0.000
Nd  0.757  0.405  0.675
Pd  0.500  0.828  0.343
Nd  0.243  0.595  0.325
Nd  0.243  0.920  0.675

Calculated values
SG: C2/m, No. 12
polymorph energy (0 for the lowest one): 0.071 eV per atom
formation energy from the elements: -7.9 eV/f.u.

Computed, not measured: an optimized crystal structure of Nd5PdRh2 at the GGA-PBE level of DFT.

abc: 7.798 7.798 8.870
angles: 116.08 116.08 90.00
Fractional coordinates of all 16 atoms:
Nd  0.195  0.027  0.721
Nd  0.500  0.500  0.000
Rh  0.634  0.134  0.000
Nd  0.473  0.305  0.279
Nd  0.695  0.195  0.721
Nd  0.000  0.000  0.000
Pd  0.750  0.750  0.500
Nd  0.527  0.695  0.721
Rh  0.866  0.634  0.000
Rh  0.366  0.866  0.000
Nd  0.973  0.473  0.279
Nd  0.027  0.527  0.721
Pd  0.250  0.250  0.500
Rh  0.134  0.366  0.000
Nd  0.805  0.973  0.279
Nd  0.305  0.805  0.279

Calculated values
SG: I4/mcm, No. 140
formation energy from the elements: -4.6 eV/f.u.

Computed, not measured: an optimized crystal structure of Nd6PdRh2 at the GGA-PBE level of DFT.

abc: 4.207 7.319 9.930
angles: 68.10 77.77 73.30
Fractional coordinates of all 9 atoms:
Nd  0.077  0.669  0.177
Rh  0.275  0.567  0.883
Nd  0.353  0.143  0.151
Pd  0.000  0.500  0.500
Nd  0.655  0.251  0.440
Nd  0.923  0.331  0.823
Rh  0.725  0.433  0.117
Nd  0.345  0.749  0.560
Nd  0.647  0.857  0.849

Calculated values
SG: C2/m, No. 12
formation energy from the elements: -4.1 eV/f.u.

Computed, not measured: an optimized crystal structure of Nd3PdRh2 at the GGA-PBE level of DFT.

abc: 4.202 11.636 11.866
angles: 90.00 90.00 90.00
Fractional coordinates of all 24 atoms:
Nd  0.250  0.815  0.709
Rh  0.250  0.802  0.003
Nd  0.750  0.564  0.622
Nd  0.250  0.376  0.049
Nd  0.250  0.124  0.549
Nd  0.250  0.436  0.378
Nd  0.250  0.064  0.878
Rh  0.250  0.503  0.823
Nd  0.250  0.685  0.209
Nd  0.750  0.936  0.122
Pd  0.250  0.376  0.625
Rh  0.750  0.003  0.677
Pd  0.750  0.876  0.875
Pd  0.250  0.124  0.125
Nd  0.750  0.315  0.791
Rh  0.250  0.997  0.323
Rh  0.250  0.698  0.503
Rh  0.750  0.302  0.497
Nd  0.750  0.624  0.951
Nd  0.750  0.185  0.291
Rh  0.750  0.198  0.997
Pd  0.750  0.624  0.375
Rh  0.750  0.497  0.177
Nd  0.750  0.876  0.451

Calculated values
SG: Pnma, No. 62
formation energy from the elements: -4.0 eV/f.u.

Computed, not measured: an optimized crystal structure of Nd12Pd6Rh at the GGA-PBE level of DFT.

abc: 8.457 8.457 8.457
angles: 98.21 98.21 98.21
Fractional coordinates of all 19 atoms:
Pd  0.691  0.871  0.380
Nd  0.423  0.817  0.583
Nd  0.417  0.577  0.183
Nd  0.042  0.679  0.923
Nd  0.321  0.077  0.958
Nd  0.958  0.321  0.077
Nd  0.183  0.417  0.577
Nd  0.077  0.958  0.321
Pd  0.309  0.129  0.620
Pd  0.871  0.380  0.691
Pd  0.129  0.620  0.309
Nd  0.817  0.583  0.423
Nd  0.577  0.183  0.417
Pd  0.380  0.691  0.871
Rh  0.000  0.000  0.000
Nd  0.679  0.923  0.042
Nd  0.923  0.042  0.679
Nd  0.583  0.423  0.817
Pd  0.620  0.309  0.129

Calculated values
SG: R-3, No. 148
formation energy from the elements: -9.0 eV/f.u.

Computed, not measured: an optimized crystal structure of Nd12Pd3Rh5 at the GGA-PBE level of DFT.

abc: 14.703 14.703 14.703
angles: 109.47 109.47 109.47
Fractional coordinates of all 80 atoms:
Pd  0.625  0.375  0.750
Rh  0.375  0.125  0.750
Pd  0.750  0.875  0.625
Rh  0.250  0.875  0.125
Nd  0.326  0.784  0.411
Nd  0.626  0.042  0.216
Nd  0.458  0.784  0.874
Rh  0.750  0.125  0.875
Pd  0.375  0.625  0.250
Nd  0.458  0.674  0.085
Pd  0.875  0.125  0.250
Rh  0.000  0.000  0.000
Nd  0.411  0.126  0.585
Nd  0.415  0.042  0.326
Nd  0.585  0.626  0.411
Nd  0.415  0.374  0.589
Pd  0.250  0.125  0.375
Nd  0.411  0.284  0.326
Nd  0.915  0.089  0.874
Nd  0.826  0.915  0.042
Nd  0.042  0.626  0.716
Rh  0.500  0.500  0.000
Nd  0.958  0.585  0.174
Nd  0.085  0.911  0.126
Nd  0.284  0.411  0.826
Nd  0.126  0.411  0.085
Nd  0.784  0.326  0.911
Nd  0.042  0.415  0.826
Pd  0.125  0.875  0.750
Rh  0.250  0.375  0.625
Nd  0.085  0.174  0.458
Nd  0.626  0.585  0.911
Rh  0.125  0.375  0.250
Nd  0.674  0.458  0.585
Nd  0.174  0.089  0.716
Nd  0.216  0.542  0.626
Nd  0.716  0.589  0.174
Rh  0.875  0.625  0.750
Pd  0.250  0.625  0.875
Nd  0.911  0.085  0.626
Pd  0.125  0.250  0.875
Rh  0.500  0.000  0.500
Rh  0.500  0.500  0.500
Nd  0.911  0.826  0.784
Nd  0.089  0.174  0.216
Nd  0.126  0.716  0.542
Nd  0.958  0.374  0.284
Nd  0.585  0.958  0.674
Nd  0.589  0.716  0.674
Nd  0.826  0.911  0.284
Nd  0.784  0.458  0.374
Nd  0.589  0.874  0.415
Rh  0.750  0.625  0.375
Nd  0.284  0.874  0.958
Pd  0.625  0.250  0.375
Pd  0.875  0.750  0.125
Nd  0.674  0.216  0.589
Rh  0.625  0.750  0.875
Nd  0.374  0.415  0.089
Rh  0.500  0.000  0.000
Rh  0.625  0.875  0.250
Rh  0.375  0.250  0.125
Pd  0.750  0.375  0.125
Nd  0.542  0.326  0.915
Rh  0.000  0.500  0.000
Nd  0.174  0.085  0.958
Rh  0.000  0.000  0.500
Nd  0.716  0.126  0.042
Pd  0.375  0.750  0.625
Nd  0.542  0.216  0.126
Nd  0.216  0.674  0.089
Nd  0.374  0.958  0.784
Nd  0.874  0.589  0.915
Rh  0.125  0.750  0.375
Nd  0.874  0.284  0.458
Nd  0.089  0.915  0.374
Rh  0.875  0.250  0.625
Rh  0.000  0.500  0.500
Nd  0.326  0.542  0.415
Nd  0.915  0.826  0.542

Calculated values
SG: Ia-3d, No. 230
formation energy from the elements: -6.0 eV/f.u.

Computed, not measured: an optimized crystal structure of NdPd4Rh at the GGA-PBE level of DFT.

abc: 5.332 5.332 5.332
angles: 60.00 60.00 60.00
Fractional coordinates of all 6 atoms:
Rh  0.250  0.250  0.250
Pd  0.624  0.624  0.127
Pd  0.127  0.624  0.624
Pd  0.624  0.624  0.624
Nd  0.000  0.000  0.000
Pd  0.624  0.127  0.624

Calculated values
SG: F-43m, No. 216
formation energy from the elements: -1.9 eV/f.u.

Computed, not measured: an optimized crystal structure of Nd2Pd4Rh at the GGA-PBE level of DFT.

abc: 5.739 5.739 5.939
angles: 118.89 118.89 90.00
Fractional coordinates of all 7 atoms:
Pd  0.786  0.286  0.071
Pd  0.286  0.286  0.071
Rh  0.786  0.786  0.572
Pd  0.286  0.786  0.071
Nd  0.786  0.286  0.571
Nd  0.286  0.786  0.571
Pd  0.786  0.786  0.072

Calculated values
SG: I4/mmm, No. 139
formation energy from the elements: -4.3 eV/f.u.